Entry 1:
{
  "formula": "ZrReTc2",
  "functional": "GGA-PBE",
  "state": "optimized geometry",
  "lattice": [[1.6002, -2.2942, 0.0000], [1.6002, 2.2942, 0.0000], [0.0000, 0.0000, 8.8615]],
  "species": ["Zr", "Re", "Tc", "Tc"],
  "frac_coords": [[0.0000, 0.0000, 0.0000], [0.0000, 0.0000, 0.5000], [0.5000, 0.5000, 0.2633], [0.5000, 0.5000, 0.7367]]
}

---

Entry 2:
{
  "formula": "Zr3ReTc",
  "functional": "GGA-PBE",
  "state": "optimized geometry",
  "lattice": [[4.8802, 0.0000, 0.0000], [0.0000, 4.8802, 0.0000], [0.0000, 0.0000, 4.8802]],
  "species": ["Zr", "Zr", "Zr", "Re", "Tc"],
  "frac_coords": [[0.0000, 0.0000, 0.5000], [0.0000, 0.5000, 0.0000], [0.5000, 0.0000, 0.0000], [0.5000, 0.5000, 0.5000], [0.0000, 0.0000, 0.0000]],
  "relative_energy_mev_per_atom": 7
}

---

Entry 3:
{
  "formula": "ZrReTc2",
  "functional": "GGA-PBE",
  "state": "optimized geometry",
  "lattice": [[-1.9700, 1.9700, 4.2267], [1.9700, -1.9700, 4.2267], [1.9700, 1.9700, -4.2267]],
  "species": ["Zr", "Re", "Tc", "Tc"],
  "frac_coords": [[0.0000, 0.0000, 0.0000], [0.2500, 0.7500, 0.5000], [0.5000, 0.5000, 0.0000], [0.7500, 0.2500, 0.5000]]
}

---

Entry 4:
{
  "formula": "ZrReTc2",
  "functional": "GGA-PBE",
  "state": "optimized geometry",
  "lattice": [[5.0298, -1.5743, 0.0000], [5.0298, 1.5743, 0.0000], [-2.1307, 0.0000, 4.1187]],
  "species": ["Zr", "Re", "Tc", "Tc"],
  "frac_coords": [[0.0000, 0.0000, 0.0000], [0.5000, 0.5000, 0.5000], [0.2403, 0.2403, 0.7405], [0.7597, 0.7597, 0.2595]]
}

---

Entry 5:
{
  "formula": "ZrRe3Tc",
  "functional": "GGA-PBE",
  "state": "optimized geometry",
  "lattice": [[4.6848, 0.0000, 0.0000], [0.0000, 4.6848, 0.0000], [0.0000, 0.0000, 4.6848]],
  "species": ["Zr", "Re", "Re", "Re", "Tc"],
  "frac_coords": [[0.0000, 0.0000, 0.0000], [0.0000, 0.0000, 0.5000], [0.0000, 0.5000, 0.0000], [0.5000, 0.0000, 0.0000], [0.5000, 0.5000, 0.5000]],
  "relative_energy_mev_per_atom": 1346
}

---

Entry 6:
{
  "formula": "ZrReTc2",
  "functional": "GGA-PBE",
  "state": "optimized geometry",
  "lattice": [[0.0000, 3.1897, 3.1897], [3.1897, 0.0000, 3.1897], [3.1897, 3.1897, 0.0000]],
  "species": ["Zr", "Re", "Tc", "Tc"],
  "frac_coords": [[0.0000, 0.0000, 0.0000], [0.7500, 0.7500, 0.7500], [0.2500, 0.2500, 0.2500], [0.5000, 0.5000, 0.5000]]
}

---

Entry 7:
{
  "formula": "ZrRe4Tc",
  "functional": "GGA-PBE",
  "state": "optimized geometry",
  "lattice": [[0.0000, 3.6834, 3.6834], [3.6834, 0.0000, 3.6834], [3.6834, 3.6834, 0.0000]],
  "species": ["Zr", "Re", "Re", "Re", "Re", "Tc"],
  "frac_coords": [[0.0000, 0.0000, 0.0000], [0.1220, 0.6260, 0.6260], [0.6260, 0.1220, 0.6260], [0.6260, 0.6260, 0.1220], [0.6260, 0.6260, 0.6260], [0.2500, 0.2500, 0.2500]]
}

---

Entry 8:
{
  "formula": "ZrReTc2",
  "functional": "GGA-PBE",
  "state": "optimized geometry",
  "lattice": [[2.7960, 0.0000, 0.0000], [0.0000, 4.4872, 0.0000], [-0.9949, 0.0000, 5.1661]],
  "species": ["Zr", "Re", "Tc", "Tc"],
  "frac_coords": [[0.0000, 0.0000, 0.0000], [0.7569, 0.5000, 0.2717], [0.2276, 0.5000, 0.7533], [0.5089, 0.0000, 0.4972]]
}

---

Q: Which final energy values were calculated for the entries above? A: -10.293; -8.657; -10.249; -10.450; -8.416; -10.417; -11.422; -10.405, in eV/atom.
Q: Which energy relative to the elements values were calculated for the entries above? A: 0.14; 1.03; 0.18; -0.02; 2.84; 0.01; 0.03; 0.03, in eV/atom.